The following is a PBE calculation of crystalline CeTeAs at its relaxed geometry, from the Alexandria database.

a b c (Å): 4.012 4.012 10.357
angles (deg): 90.00 90.00 90.00
Positions (direct):
Ce1 0.000 0.000 0.000
Ce2 0.500 0.500 0.500
Te1 0.000 0.000 0.333
Te2 0.500 0.500 0.833
As1 0.000 0.000 0.597
As2 0.500 0.500 0.097

**Calculated density**: 6.8 g/cm³
**E**: -33.1 eV per cell
**DOS at the Fermi energy**: 10.290 states/eV/cell
**Symmetry**: I4mm (107)
**Total magnetization**: 1.3 Bohr magnetons per cell
**Formation energy without anion corrections**: -933.4 meV per atom



The following is a PBE calculation of crystalline RbScSn at its relaxed geometry, from the Alexandria database.

a b c (Å): 5.175 5.175 8.352
angles (deg): 90.00 90.00 90.00
Positions (direct):
Rb1 0.250 0.250 0.138
Rb2 0.750 0.750 0.862
Sc1 0.250 0.750 0.500
Sc2 0.750 0.250 0.500
Sn1 0.250 0.250 0.670
Sn2 0.750 0.750 0.330

**Calculated density**: 3.7 g/cm³
**E**: -24.7 eV per cell
**DOS at the Fermi energy**: 0.000 states/eV/cell
**Symmetry**: P4/nmm (129)
**Total magnetization**: 0.0 Bohr magnetons per cell
**Formation energy**: -1.046 eV per formula unit



The following is a PBE calculation of crystalline RbSc3I at its relaxed geometry, from the Alexandria database.

a b c (Å): 5.582 5.582 5.582
angles (deg): 90.00 90.00 90.00
Positions (direct):
Rb1 0.000 0.000 0.000
Sc1 0.000 0.500 0.500
Sc2 0.500 0.000 0.500
Sc3 0.500 0.500 0.000
I1 0.500 0.500 0.500

**Calculated density**: 3.3 g/cm³
**E**: -18.5 eV per cell
**DOS at the Fermi energy**: 11.633 states/eV/cell
**Symmetry**: Pm-3m (221)
**Total magnetization**: 1.6 Bohr magnetons per cell
**Formation energy without anion corrections**: 599.0 meV per atom



The following is a PBE calculation of crystalline PrThBiN2 at its relaxed geometry, from the Alexandria database.

a b c (Å): 7.951 7.951 5.769
angles (deg): 90.00 90.00 137.37
Positions (direct):
Pr1 0.079 0.921 0.750
Pr2 0.921 0.079 0.250
Th1 0.425 0.575 0.750
Th2 0.575 0.425 0.250
Bi1 0.249 0.751 0.250
Bi2 0.751 0.249 0.750
N1 0.260 0.260 0.000
N2 0.260 0.260 0.500
N3 0.740 0.740 0.000
N4 0.740 0.740 0.500

**Calculated density**: 8.2 g/cm³
**E**: -76.8 eV per cell
**DOS at the Fermi energy**: 8.907 states/eV/cell
**Symmetry**: Cmcm (63)
**Total magnetization**: 0.0 Bohr magnetons per cell
**Formation energy without anion corrections**: -1131.3 meV per atom



The following is a PBE calculation of crystalline PuZrMoOs at its relaxed geometry, from the Alexandria database.

a b c (Å): 6.681 6.681 6.681
angles (deg): 90.00 90.00 90.00
Positions (direct):
Pu1 0.000 0.000 0.000
Pu2 0.000 0.500 0.500
Pu3 0.500 0.000 0.500
Pu4 0.500 0.500 0.000
Zr1 0.000 0.000 0.500
Zr2 0.000 0.500 0.000
Zr3 0.500 0.000 0.000
Zr4 0.500 0.500 0.500
Mo1 0.250 0.250 0.750
Mo2 0.250 0.750 0.250
Mo3 0.750 0.250 0.250
Mo4 0.750 0.750 0.750
Os1 0.250 0.250 0.250
Os2 0.250 0.750 0.750
Os3 0.750 0.250 0.750
Os4 0.750 0.750 0.250

**Calculated density**: 13.8 g/cm³
**E**: -180.4 eV per cell
**DOS at the Fermi energy**: 17.951 states/eV/cell
**Symmetry**: F-43m (216)
**Total magnetization**: 15.8 Bohr magnetons per cell
**Formation energy**: -0.164 eV per formula unit



The following is a PBE calculation of crystalline TiCo5Ge6 at its relaxed geometry, from the Alexandria database.

a b c (Å): 5.952 5.952 6.549
angles (deg): 99.23 99.23 129.81
Positions (direct):
Ti1 0.000 0.000 0.000
Co1 0.000 0.000 0.500
Co2 0.309 0.691 0.000
Co3 0.380 0.620 0.500
Co4 0.620 0.380 0.500
Co5 0.691 0.309 0.000
Ge1 0.179 0.806 0.704
Ge2 0.194 0.821 0.296
Ge3 0.443 0.443 0.787
Ge4 0.557 0.557 0.213
Ge5 0.806 0.179 0.704
Ge6 0.821 0.194 0.296

**Calculated density**: 7.8 g/cm³
**E**: -71.9 eV per cell
**DOS at the Fermi energy**: 11.226 states/eV/cell
**Symmetry**: C2/m (12)
**Total magnetization**: 0.0 Bohr magnetons per cell
**Formation energy**: -0.785 eV per formula unit



The following is a PBE calculation of crystalline BaU2CdO8 at its relaxed geometry, from the Alexandria database.

a b c (Å): 6.697 6.697 6.697
angles (deg): 129.58 129.58 74.07
Positions (direct):
Ba1 0.000 0.000 0.000
U1 0.500 0.500 0.000
U2 0.750 0.250 0.500
Cd1 0.250 0.750 0.500
O1 0.079 0.173 0.523
O2 0.194 0.609 0.042
O3 0.391 0.432 0.585
O4 0.444 0.921 0.094
O5 0.568 0.152 0.958
O6 0.650 0.556 0.477
O7 0.827 0.350 0.906
O8 0.848 0.806 0.415

**Calculated density**: 8.1 g/cm³
**E**: -96.4 eV per cell
**DOS at the Fermi energy**: 0.000 states/eV/cell
**Symmetry**: I-4 (82)
**Total magnetization**: 0.0 Bohr magnetons per cell
**Formation energy without anion corrections**: -2609.8 meV per atom



The following is a PBE calculation of crystalline TbScPaO6 at its relaxed geometry, from the Alexandria database.

a b c (Å): 5.612 5.612 4.706
angles (deg): 90.00 90.00 120.00
Positions (direct):
Tb1 0.000 0.000 0.000
Sc1 0.333 0.667 0.000
Pa1 0.667 0.333 0.500
O1 0.002 0.353 0.241
O2 0.002 0.648 0.759
O3 0.352 0.353 0.759
O4 0.352 0.998 0.241
O5 0.647 0.648 0.241
O6 0.647 0.998 0.759

**Calculated density**: 6.9 g/cm³
**E**: -79.1 eV per cell
**DOS at the Fermi energy**: 7.103 states/eV/cell
**Symmetry**: P312 (149)
**Total magnetization**: 0.6 Bohr magnetons per cell
**Formation energy without anion corrections**: -3207.3 meV per atom



The following is a PBE calculation of crystalline InFePb2 at its relaxed geometry, from the Alexandria database.

a b c (Å): 6.507 10.551 3.323
angles (deg): 90.00 116.22 90.00
Positions (direct):
In1 0.000 0.000 0.000
In2 0.500 0.500 0.000
Fe1 0.000 0.500 0.000
Fe2 0.500 0.000 0.000
Pb1 0.250 0.250 0.500
Pb2 0.250 0.750 0.500
Pb3 0.750 0.250 0.500
Pb4 0.750 0.750 0.500

**Calculated density**: 9.5 g/cm³
**E**: -32.9 eV per cell
**DOS at the Fermi energy**: 7.635 states/eV/cell
**Symmetry**: C2/m (12)
**Total magnetization**: 6.2 Bohr magnetons per cell
**Formation energy**: 2.181 eV per formula unit



The following is a PBE calculation of crystalline Sr5Te4Se at its relaxed geometry, from the Alexandria database.

a b c (Å): 16.910 16.910 16.910
angles (deg): 164.02 164.02 22.67
Positions (direct):
Sr1 0.000 0.000 0.000
Sr2 0.200 0.200 0.000
Sr3 0.404 0.404 0.000
Sr4 0.596 0.596 0.000
Sr5 0.800 0.800 0.000
Te1 0.099 0.099 0.000
Te2 0.302 0.302 0.000
Te3 0.698 0.698 0.000
Te4 0.901 0.901 0.000
Se1 0.500 0.500 0.000

**Calculated density**: 4.7 g/cm³
**E**: -42.4 eV per cell
**DOS at the Fermi energy**: 0.000 states/eV/cell
**Symmetry**: I4/mmm (139)
**Total magnetization**: 0.0 Bohr magnetons per cell
**Formation energy without anion corrections**: -1796.0 meV per atom



The following is a PBE calculation of crystalline Ba7Rh2Cl2 at its relaxed geometry, from the Alexandria database.

a b c (Å): 8.604 8.604 8.038
angles (deg): 93.34 93.34 111.91
Positions (direct):
Ba1 0.000 0.000 0.000
Ba2 0.064 0.449 0.752
Ba3 0.412 0.412 0.226
Ba4 0.449 0.064 0.752
Ba5 0.551 0.936 0.248
Ba6 0.588 0.588 0.774
Ba7 0.936 0.551 0.248
Rh1 0.279 0.279 0.862
Rh2 0.721 0.721 0.138
Cl1 0.291 0.709 0.500
Cl2 0.709 0.291 0.500

**Calculated density**: 3.7 g/cm³
**E**: -38.5 eV per cell
**DOS at the Fermi energy**: 10.024 states/eV/cell
**Symmetry**: C2/m (12)
**Total magnetization**: 0.0 Bohr magnetons per cell
**Formation energy without anion corrections**: -608.2 meV per atom



The following is a PBE calculation of crystalline CoReIr3 at its relaxed geometry, from the Alexandria database.

a b c (Å): 2.693 8.685 6.910
angles (deg): 90.00 101.22 90.00
Positions (direct):
Co1 0.054 0.250 0.108
Co2 0.946 0.750 0.892
Re1 0.281 0.750 0.562
Re2 0.719 0.250 0.438
Ir1 0.165 0.000 0.330
Ir2 0.165 0.500 0.330
Ir3 0.404 0.250 0.807
Ir4 0.596 0.750 0.193
Ir5 0.835 0.000 0.670
Ir6 0.835 0.500 0.670

**Calculated density**: 17.2 g/cm³
**E**: -88.7 eV per cell
**DOS at the Fermi energy**: 13.098 states/eV/cell
**Symmetry**: P2_1/m (11)
**Total magnetization**: 2.7 Bohr magnetons per cell
**Formation energy**: 1.800 eV per formula unit